1.
BeCoW2 | GGA-PBE | optimized geometry

Unit cell a=8.3630 b=8.3630 c=8.3630 alpha=18.88 beta=18.88 gamma=18.88
Fractional coordinates of all 4 atoms:
Be  0.0000  0.0000  0.0000
Co  0.2660  0.2660  0.2660
W  0.5160  0.5160  0.5160
W  0.7493  0.7493  0.7493

Computed properties:
**SG**: R3m (160)
**V**: 53.5 Å³/f.u.
**Crystal system**: trigonal
**Energy relative to the elements**: 331 meV/atom
**Total energy**: -8.854 eV/atom

***

2.
LiPmMoN3 | GGA-PBE | optimized geometry

Unit cell a=6.1390 b=6.1390 c=8.0049 alpha=90.00 beta=90.00 gamma=148.47
Fractional coordinates of all 12 atoms:
Li  0.0000  0.0000  0.0000
Li  0.0000  0.0000  0.5000
Pm  0.2914  0.7086  0.7500
Pm  0.7086  0.2914  0.2500
Mo  0.4464  0.5536  0.2500
Mo  0.5536  0.4464  0.7500
N  0.0540  0.9460  0.2500
N  0.3539  0.6461  0.0699
N  0.3539  0.6461  0.4301
N  0.6461  0.3539  0.5699
N  0.6461  0.3539  0.9301
N  0.9460  0.0540  0.7500

Computed properties:
**SG**: Cmcm (63)
**V**: 78.9 Å³/f.u.
**Crystal system**: orthorhombic
**Total energy**: -7.784 eV/atom
**Formation energy from raw total energies**: -705 meV per atom

***

3.
ZrRh2Cl | GGA-PBE | optimized geometry

Unit cell a=5.0786 b=5.0786 c=5.0786 alpha=134.06 beta=134.06 gamma=66.99
Fractional coordinates of all 4 atoms:
Zr  0.0000  0.0000  0.0000
Rh  0.5000  0.5000  0.0000
Rh  0.7500  0.2500  0.5000
Cl  0.2500  0.7500  0.5000

Computed properties:
**SG**: I-4m2 (119)
**V**: 66.5 Å³/f.u.
**E above lowest polymorph**: 1.507 eV per formula unit
**Crystal system**: tetragonal
**Total energy**: -6.340 eV/atom
**Formation energy from raw total energies**: -66 meV per atom

***

4.
Ta3TiPb | GGA-PBE | optimized geometry

Unit cell a=5.0733 b=5.0733 c=5.0733 alpha=90.00 beta=90.00 gamma=90.00
Fractional coordinates of all 5 atoms:
Ta  0.0000  0.0000  0.5000
Ta  0.0000  0.5000  0.0000
Ta  0.5000  0.0000  0.0000
Ti  0.5000  0.5000  0.5000
Pb  0.0000  0.0000  0.0000

Computed properties:
**SG**: Pm-3m (221)
**V**: 130.6 Å³/f.u.
**E above lowest polymorph**: 4.968 eV per formula unit
**Crystal system**: cubic
**Energy relative to the elements**: 2309 meV/atom
**Total energy**: -7.123 eV/atom